Entry 1:
A geometry-optimized Ac3Zn2Bi structure, computed with PBE.

Lattice parameters (Å, degrees): 4.533 8.759 10.254 90.00 90.00 90.00
Atoms (fractional coordinates):
Ac 0.500 0.176 0.103
Ac 0.500 0.191 0.712
Ac 0.000 0.330 0.415
Ac 0.500 0.676 0.897
Ac 0.500 0.691 0.288
Ac 0.000 0.830 0.585
Zn 0.000 0.984 0.290
Zn 0.500 0.046 0.409
Zn 0.000 0.484 0.710
Zn 0.500 0.546 0.591
Bi 0.000 0.975 0.912
Bi 0.000 0.475 0.088

## Properties
Its total energy is -3.52 eV per atom.

---

Entry 2:
A geometry-optimized Ac2ZnBi4 structure, computed with PBE.

Lattice parameters (Å, degrees): 4.736 4.736 10.460 90.00 90.00 90.00
Atoms (fractional coordinates):
Ac 0.500 0.000 0.761
Ac 0.000 0.500 0.239
Zn 0.500 0.500 0.000
Bi 0.500 0.000 0.150
Bi 0.000 0.500 0.850
Bi 0.500 0.500 0.500
Bi 0.000 0.000 0.500

## Properties
Its total energy is -4.17 eV per atom.

---

Entry 3:
A geometry-optimized AcZnBi2 structure, computed with PBE.

Lattice parameters (Å, degrees): 3.839 3.839 9.996 78.93 78.93 60.00
Atoms (fractional coordinates):
Zn 0.000 0.000 0.000
Ac 0.500 0.500 0.500
Bi 0.734 0.734 0.799
Bi 0.266 0.266 0.201

## Properties
Its total energy is -3.38 eV per atom. The calculation puts the distance to the lowest polymorph of the same formula at 1.55 eV/f.u.

---

Entry 4:
A geometry-optimized AcZrBi structure, computed with PBE.

Lattice parameters (Å, degrees): 3.978 3.978 6.645 107.42 107.42 90.00
Atoms (fractional coordinates):
Ac 0.996 0.996 0.992
Bi 0.701 0.701 0.402
Zr 0.303 0.303 0.606

## Properties
Its total energy is -5.76 eV per atom. The calculation puts the distance to the lowest polymorph of the same formula at 0.00 eV/f.u.

---

no.,magnetization (μB/f.u.),ρ (g/cm³)
1,0.0,8.33
2,0.0,9.59
3,0.0,9.48
4,0.0,9.19